(1)
Density functional theory data (PBE) for a relaxed structure of HgOsNO.

Cell and atoms, written as CIF:
```
data_HgOsNO
_chemical_formula_sum 'Hg2 Os2 N2 O2'
_cell_length_a 3.858
_cell_length_b 3.858
_cell_length_c 7.274
_cell_angle_alpha 90.00
_cell_angle_beta 90.00
_cell_angle_gamma 90.00
_space_group_name_H-M_alt 'P 1'
_space_group_IT_number 1
loop_
_space_group_symop_operation_xyz
'x,y,z'
loop_
_atom_site_label
_atom_site_type_symbol
_atom_site_fract_x
_atom_site_fract_y
_atom_site_fract_z
Hg1 Hg 0.250 0.250 0.165
Hg2 Hg 0.750 0.750 0.835
Os1 Os 0.250 0.750 0.500
Os2 Os 0.750 0.250 0.500
N1 N 0.250 0.250 0.613
N2 N 0.750 0.750 0.387
O1 O 0.250 0.750 0.000
O2 O 0.750 0.250 0.000
```

## Properties
Energy (eV per atom): -5.50
Space group: P4/nmm
Offset from the most stable computed form (meV/atom): 651
Theoretical density (kg/m³): 12912



(2)
Density functional theory data (PBE) for a relaxed structure of HgPbNO.

Cell and atoms, written as CIF:
```
data_HgPbNO
_chemical_formula_sum 'Hg2 Pb2 N2 O2'
_cell_length_a 3.996
_cell_length_b 6.233
_cell_length_c 5.971
_cell_angle_alpha 90.00
_cell_angle_beta 90.00
_cell_angle_gamma 90.00
_space_group_name_H-M_alt 'P 1'
_space_group_IT_number 1
loop_
_space_group_symop_operation_xyz
'x,y,z'
loop_
_atom_site_label
_atom_site_type_symbol
_atom_site_fract_x
_atom_site_fract_y
_atom_site_fract_z
Hg1 Hg 0.000 0.202 0.000
Hg2 Hg 0.000 0.798 0.500
Pb1 Pb 0.500 0.320 0.524
Pb2 Pb 0.500 0.680 0.024
N1 N 0.500 0.327 0.910
N2 N 0.500 0.673 0.410
O1 O 0.000 0.185 0.425
O2 O 0.000 0.815 0.925
```

## Properties
Energy (eV per atom): -4.11
Space group: Pmc2_1
Offset from the most stable computed form (meV/atom): 19
Theoretical density (kg/m³): 9777



(3)
Density functional theory data (PBE) for a relaxed structure of HgPbNO.

Cell and atoms, written as CIF:
```
data_HgPbNO
_chemical_formula_sum 'Hg4 Pb4 N4 O4'
_cell_length_a 6.640
_cell_length_b 7.550
_cell_length_c 6.583
_cell_angle_alpha 90.00
_cell_angle_beta 90.00
_cell_angle_gamma 90.00
_space_group_name_H-M_alt 'P 1'
_space_group_IT_number 1
loop_
_space_group_symop_operation_xyz
'x,y,z'
loop_
_atom_site_label
_atom_site_type_symbol
_atom_site_fract_x
_atom_site_fract_y
_atom_site_fract_z
Hg1 Hg 0.245 0.097 0.000
Hg2 Hg 0.255 0.097 0.500
Hg3 Hg 0.745 0.903 0.000
Hg4 Hg 0.755 0.903 0.500
Pb1 Pb 0.078 0.623 0.218
Pb2 Pb 0.422 0.623 0.718
Pb3 Pb 0.578 0.377 0.218
Pb4 Pb 0.922 0.377 0.718
N1 N 0.054 0.100 0.747
N2 N 0.446 0.100 0.247
N3 N 0.554 0.900 0.747
N4 N 0.946 0.900 0.247
O1 O 0.138 0.564 0.885
O2 O 0.362 0.564 0.385
O3 O 0.638 0.436 0.885
O4 O 0.862 0.436 0.385
```

## Properties
Energy (eV per atom): -4.13
Space group: Pca2_1
Offset from the most stable computed form (meV/atom): 0
Theoretical density (kg/m³): 8810



(4)
Density functional theory data (PBE) for a relaxed structure of HgPbNO.

Cell and atoms, written as CIF:
```
data_HgPbNO
_chemical_formula_sum 'Hg2 Pb2 N2 O2'
_cell_length_a 4.978
_cell_length_b 4.978
_cell_length_c 4.938
_cell_angle_alpha 90.00
_cell_angle_beta 90.00
_cell_angle_gamma 90.00
_space_group_name_H-M_alt 'P 1'
_space_group_IT_number 1
loop_
_space_group_symop_operation_xyz
'x,y,z'
loop_
_atom_site_label
_atom_site_type_symbol
_atom_site_fract_x
_atom_site_fract_y
_atom_site_fract_z
Hg1 Hg 0.250 0.250 0.001
Hg2 Hg 0.750 0.750 0.999
Pb1 Pb 0.250 0.750 0.500
Pb2 Pb 0.750 0.250 0.500
N1 N 0.250 0.250 0.501
N2 N 0.750 0.750 0.499
O1 O 0.250 0.750 0.000
O2 O 0.750 0.250 0.000
```

## Properties
Energy (eV per atom): -4.01
Space group: P4/nmm
Offset from the most stable computed form (meV/atom): 119
Theoretical density (kg/m³): 11881